This record from Alexandria describes a relaxed structure of AlAgSn. The functional is PBE-GGA.

abc: 3.417 5.778 6.512
angles: 90.00 105.08 90.00
Sites, in units of the cell vectors:
1 Al 0.131 0.250 0.265
2 Al 0.869 0.750 0.735
3 Ag 0.500 0.000 0.000
4 Ag 0.500 0.500 0.000
5 Sn 0.177 0.750 0.345
6 Sn 0.823 0.250 0.655

Values from the calculation:
Mass density   6783 kg/m³
Space group   P2_1/m (11)
Final energy   -3.482 eV/atom
Fermi-level density of states   1.05 states/eV/f.u.
Formation energy from the elements   0.050 eV/atom